(1)
# Mg7CdPd2 PBE-GGA optimized geometry
data_Mg7CdPd2
_cell_length_a 8.097
_cell_length_b 12.738
_cell_length_c 4.984
_cell_angle_alpha 90.00
_cell_angle_beta 90.00
_cell_angle_gamma 90.00
_symmetry_space_group_name_H-M 'C m m m'
_symmetry_Int_Tables_number 65
_symmetry_space_group_name_Hall '-C 2 2'
loop_
_atom_site_label
_atom_site_fract_x
_atom_site_fract_y
_atom_site_fract_z
Mg1 0.000 0.000 0.000
Mg2 0.000 0.223 0.500
Mg3 0.190 0.370 0.000
Cd1 0.000 0.500 0.500
Pd1 0.000 0.202 0.000
# - D(E_F): 8.69 states/eV per cell
# - DFT total energy: -2.41 eV per atom
# - Energy of formation: -1.6 eV per formula unit

=====

(2)
# Mg3CdPd PBE-GGA optimized geometry
data_Mg3CdPd
_cell_length_a 5.003
_cell_length_b 5.003
_cell_length_c 5.003
_cell_angle_alpha 90.00
_cell_angle_beta 90.00
_cell_angle_gamma 90.00
_symmetry_space_group_name_H-M 'P m -3 m'
_symmetry_Int_Tables_number 221
_symmetry_space_group_name_Hall '-P 4 2 3'
loop_
_atom_site_label
_atom_site_fract_x
_atom_site_fract_y
_atom_site_fract_z
Mg1 0.000 0.000 0.500
Cd1 0.500 0.500 0.500
Pd1 0.000 0.000 0.000
# - D(E_F): 1.69 states/eV per cell
# - Excess energy over the best structure of this formula in the dataset: 217 meV/atom
# - DFT total energy: -2.31 eV per atom
# - Energy of formation: -0.6 eV per formula unit

=====

(3)
# MgCdPd2 PBE-GGA optimized geometry
data_MgCdPd2
_cell_length_a 6.467
_cell_length_b 6.467
_cell_length_c 6.467
_cell_angle_alpha 90.00
_cell_angle_beta 90.00
_cell_angle_gamma 90.00
_symmetry_space_group_name_H-M 'F m -3 m'
_symmetry_Int_Tables_number 225
_symmetry_space_group_name_Hall '-F 4 2 3'
loop_
_atom_site_label
_atom_site_fract_x
_atom_site_fract_y
_atom_site_fract_z
Mg1 0.000 0.000 0.000
Cd1 0.000 0.000 0.500
Pd1 0.250 0.250 0.250
# - D(E_F): 6.39 states/eV per cell
# - DFT total energy: -3.80 eV per atom
# - Energy of formation: -2.3 eV per formula unit

=====

(4)
# Mg3Cd2Pd8 PBE-GGA optimized geometry
data_Mg3Cd2Pd8
_cell_length_a 5.2799
_cell_length_b 5.2799
_cell_length_c 29.2673
_cell_angle_alpha 90.00
_cell_angle_beta 90.00
_cell_angle_gamma 120.00
_symmetry_space_group_name_H-M 'R -3 m'
_symmetry_Int_Tables_number 166
_symmetry_space_group_name_Hall '-R 3 2"'
loop_
_atom_site_label
_atom_site_fract_x
_atom_site_fract_y
_atom_site_fract_z
Mg1 0.0000 0.0000 0.0000
Mg2 0.0000 0.0000 0.1849
Cd1 0.0000 0.0000 0.3630
Pd1 0.0000 0.0000 0.2730
Pd2 0.0009 0.5005 0.7745
# - D(E_F): 24.07 states/eV per cell
# - DFT total energy: -3.95 eV per atom
# - Energy of formation: -3.2 eV per formula unit

=====

(5)
# Mg4CdPd PBE-GGA optimized geometry
data_Mg4CdPd
_cell_length_a 7.950
_cell_length_b 12.312
_cell_length_c 5.534
_cell_angle_alpha 90.00
_cell_angle_beta 109.80
_cell_angle_gamma 90.00
_symmetry_space_group_name_H-M 'C 1 2/c 1'
_symmetry_Int_Tables_number 15
_symmetry_space_group_name_Hall '-C 2yc'
loop_
_atom_site_label
_atom_site_fract_x
_atom_site_fract_y
_atom_site_fract_z
Mg1 0.106 0.178 0.056
Mg2 0.214 0.414 0.358
Cd1 0.000 0.381 0.750
Pd1 0.000 0.002 0.250
# - D(E_F): 8.22 states/eV per cell
# - Excess energy over the best structure of this formula in the dataset: 0 meV/atom
# - DFT total energy: -2.38 eV per atom
# - Energy of formation: -1.8 eV per formula unit

=====

(6)
# Mg5CdPd4 PBE-GGA optimized geometry
data_Mg5CdPd4
_cell_length_a 3.245
_cell_length_b 3.245
_cell_length_c 16.239
_cell_angle_alpha 90.00
_cell_angle_beta 90.00
_cell_angle_gamma 90.00
_symmetry_space_group_name_H-M 'P 4/m m m'
_symmetry_Int_Tables_number 123
_symmetry_space_group_name_Hall '-P 4 2'
loop_
_atom_site_label
_atom_site_fract_x
_atom_site_fract_y
_atom_site_fract_z
Mg1 0.000 0.000 0.000
Mg2 0.000 0.000 0.189
Mg3 0.000 0.000 0.379
Cd1 0.500 0.500 0.500
Pd1 0.500 0.500 0.094
Pd2 0.500 0.500 0.286
# - D(E_F): 3.07 states/eV per cell
# - DFT total energy: -3.59 eV per atom
# - Energy of formation: -6.2 eV per formula unit

=====

(7)
# MgCd2Pd9 PBE-GGA optimized geometry
data_MgCd2Pd9
_cell_length_a 4.008
_cell_length_b 4.008
_cell_length_c 12.048
_cell_angle_alpha 90.00
_cell_angle_beta 90.00
_cell_angle_gamma 90.00
_symmetry_space_group_name_H-M 'P 4/m m m'
_symmetry_Int_Tables_number 123
_symmetry_space_group_name_Hall '-P 4 2'
loop_
_atom_site_label
_atom_site_fract_x
_atom_site_fract_y
_atom_site_fract_z
Mg1 0.000 0.000 0.000
Cd1 0.000 0.000 0.331
Pd1 0.000 0.500 0.162
Pd2 0.000 0.500 0.500
Pd3 0.500 0.500 0.000
Pd4 0.500 0.500 0.330
# - D(E_F): 19.72 states/eV per cell
# - DFT total energy: -4.49 eV per atom
# - Energy of formation: -3.7 eV per formula unit

=====

(8)
# MgCd4Pd15 PBE-GGA optimized geometry
data_MgCd4Pd15
_cell_length_a 4.030
_cell_length_b 4.030
_cell_length_c 19.978
_cell_angle_alpha 90.00
_cell_angle_beta 90.00
_cell_angle_gamma 90.00
_symmetry_space_group_name_H-M 'P 4/m m m'
_symmetry_Int_Tables_number 123
_symmetry_space_group_name_Hall '-P 4 2'
loop_
_atom_site_label
_atom_site_fract_x
_atom_site_fract_y
_atom_site_fract_z
Mg1 0.000 0.000 0.000
Cd1 0.000 0.000 0.198
Cd2 0.000 0.000 0.399
Pd1 0.000 0.500 0.097
Pd2 0.000 0.500 0.299
Pd3 0.000 0.500 0.500
Pd4 0.500 0.500 0.000
Pd5 0.500 0.500 0.197
Pd6 0.500 0.500 0.399
# - D(E_F): 27.28 states/eV per cell
# - DFT total energy: -4.44 eV per atom
# - Energy of formation: -5.7 eV per formula unit